# MnSi2BF

An optimized crystal structure of MnSi2BF (PBE+U, Alexandria via LeMat-Bulk).

Computed properties:
VASP energy	-4.80	eV/atom

Cell: 4.356 3.824 4.356 Å, 90.00 90.00 90.00°
Each line ends with the local moment (μB).
Fractional positions:
F1 0.500 0.500 0.500  -0.07
Si1 0.500 0.000 0.000  -0.09
Mn1 0.000 0.000 0.000  1.38
B1 0.000 0.500 0.000  -0.11
Si2 0.000 0.000 0.500  -0.03